Material: Nd2Zn2HgPd5
Method: DFT, GGA-PBE
State: relaxed

Cell: 3.871 9.866 9.866 Å, 90.00 90.00 90.00°
Element x y z (fractional)
1 Pd 0.500 0.067 0.790
2 Nd 0.000 0.679 0.179
3 Zn 0.000 0.117 0.617
4 Pd 0.500 0.567 0.710
5 Pd 0.500 0.500 0.000
6 Pd 0.500 0.000 0.500
7 Pd 0.500 0.933 0.210
8 Pd 0.500 0.710 0.433
9 Nd 0.000 0.179 0.321
10 Pd 0.500 0.790 0.933
11 Nd 0.000 0.321 0.821
12 Pd 0.500 0.433 0.290
13 Hg 0.000 0.000 0.000
14 Hg 0.000 0.500 0.500
15 Pd 0.500 0.210 0.067
16 Zn 0.000 0.383 0.117
17 Zn 0.000 0.617 0.883
18 Nd 0.000 0.821 0.679
19 Zn 0.000 0.883 0.383
20 Pd 0.500 0.290 0.567

Results
Space group: P4/mbm, No. 127
DOS(E_F): 6.55 states/eV per cell
Energy relative to the elements: -13.977 kcal/mol of atoms

***

Material: Ac4Si3
Method: DFT, GGA-PBE
State: relaxed

Cell: 4.712 12.618 12.618 Å, 120.00 90.00 90.00°
Element x y z (fractional)
1 Ac 0.249 0.016 0.242
2 Si 0.746 0.553 0.712
3 Ac 0.246 0.374 0.513
4 Si 0.746 0.160 0.447
5 Si 0.254 0.447 0.288
6 Ac 0.754 0.861 0.374
7 Si 0.254 0.840 0.553
8 Si 0.743 0.333 0.667
9 Si 0.254 0.712 0.160
10 Ac 0.249 0.226 0.984
11 Ac 0.249 0.758 0.774
12 Si 0.500 0.000 0.000
13 Ac 0.754 0.626 0.487
14 Si 0.257 0.667 0.333
15 Ac 0.751 0.984 0.758
16 Ac 0.246 0.487 0.861
17 Ac 0.754 0.513 0.139
18 Ac 0.751 0.242 0.226
19 Ac 0.246 0.139 0.626
20 Ac 0.751 0.774 0.016
21 Si 0.746 0.288 0.840

Results
Space group: P-3, No. 147
Energy relative to the elements, uncorrected: -0.4665 eV per atom
DOS(E_F): 20.47 states/eV per cell

***

Material: LaCrW
Method: DFT, GGA-PBE
State: relaxed

Cell: 4.472 4.472 4.472 Å, 60.00 60.00 60.00°
Element x y z (fractional)
1 W 0.500 0.500 0.500
2 Cr 0.750 0.750 0.750
3 La 0.000 0.000 0.000

Results
Offset from the most stable computed form: 495 meV per atom
Space group: F-43m, No. 216
DOS(E_F): 3.00 states/eV per cell
Energy relative to the elements: 23.351 kcal/mol of atoms

***

Material: YTl2Ru
Method: DFT, GGA-PBE
State: relaxed

Cell: 5.278 5.278 5.278 Å, 128.63 128.63 75.60°
Element x y z (fractional)
1 Ru 0.750 0.250 0.500
2 Tl 0.000 0.000 0.000
3 Y 0.250 0.750 0.500
4 Tl 0.500 0.500 0.000

Results
Offset from the most stable computed form: 34 meV per atom
Space group: I4/mmm, No. 139
DOS(E_F): 2.74 states/eV per cell
Energy relative to the elements: 0.985 kcal/mol of atoms

***

Material: ScFe2TcGe
Method: DFT, GGA-PBE
State: relaxed

Cell: 4.363 4.623 4.363 Å, 90.00 90.00 90.00°
Element x y z (fractional)
1 Tc 0.000 0.500 0.000
2 Fe 0.000 0.000 0.500
3 Fe 0.500 0.000 0.000
4 Sc 0.500 0.500 0.500
5 Ge 0.000 0.000 0.000

Results
Space group: P4/mmm, No. 123
DOS(E_F): 4.02 states/eV per cell
Energy relative to the elements: 12.223 kcal/mol of atoms

***

Material: Cd2RuCl
Method: DFT, GGA-PBE
State: relaxed

Cell: 3.158 3.159 7.881 Å, 90.00 90.00 90.00°
Element x y z (fractional)
1 Cl 0.500 0.500 0.250
2 Cd 0.000 0.000 0.976
3 Ru 0.500 0.500 0.750
4 Cd 0.000 0.000 0.524

Results
Offset from the most stable computed form: 48 meV per atom
Space group: P4/mmm, No. 123
Energy relative to the elements, uncorrected: 0.0680 eV per atom
DOS(E_F): 3.54 states/eV per cell

***

Material: Th4RuCSe2
Method: DFT, GGA-PBE
State: relaxed

Cell: 3.965 7.034 7.431 Å, 107.64 90.00 90.00°
Element x y z (fractional)
1 Th 0.000 0.721 0.207
2 Th 0.000 0.279 0.793
3 Th 0.500 0.251 0.213
4 C 0.500 0.500 0.000
5 Se 0.500 0.000 0.500
6 Se 0.000 0.500 0.500
7 Th 0.500 0.749 0.787
8 Ru 0.000 0.000 0.000

Results
Space group: P2/m, No. 10
Energy relative to the elements, uncorrected: -0.9900 eV per atom
DOS(E_F): 7.21 states/eV per cell

***

Material: Ta3Mo4W
Method: DFT, GGA-PBE
State: relaxed

Cell: 3.214 3.214 12.875 Å, 90.00 90.00 90.00°
Element x y z (fractional)
1 W 0.500 0.500 0.000
2 Mo 0.000 0.000 0.374
3 Ta 0.500 0.500 0.500
4 Ta 0.500 0.500 0.751
5 Mo 0.000 0.000 0.626
6 Mo 0.000 0.000 0.121
7 Mo 0.000 0.000 0.879
8 Ta 0.500 0.500 0.249

Results
Offset from the most stable computed form: 0 meV per atom
Space group: P4/mmm, No. 123
DOS(E_F): 4.12 states/eV per cell
Energy relative to the elements: -4.025 kcal/mol of atoms

***

Material: SrLiMg
Method: DFT, GGA-PBE
State: relaxed

Cell: 4.794 4.794 9.190 Å, 105.12 105.12 90.00°
Element x y z (fractional)
1 Sr 0.330 0.330 0.661
2 Li 0.104 0.104 0.208
3 Sr 0.670 0.670 0.339
4 Mg 0.000 0.500 0.000
5 Li 0.896 0.896 0.792
6 Mg 0.500 0.000 0.000

Results
Offset from the most stable computed form: 38 meV per atom
Space group: I4/mmm, No. 139
DOS(E_F): 5.34 states/eV per cell
Energy relative to the elements: -0.259 kcal/mol of atoms

***

Material: Cs4Sr3H10
Method: DFT, GGA-PBE
State: relaxed

Cell: 4.836 4.836 17.854 Å, 97.78 97.78 90.00°
Element x y z (fractional)
1 H 0.639 0.139 0.277
2 H 0.861 0.361 0.723
3 Cs 0.569 0.569 0.138
4 Cs 0.704 0.704 0.409
5 H 0.139 0.639 0.277
6 H 0.791 0.791 0.582
7 Cs 0.296 0.296 0.591
8 H 0.209 0.209 0.418
9 H 0.500 0.000 0.000
10 H 0.069 0.069 0.139
11 Cs 0.431 0.431 0.862
12 Sr 0.139 0.139 0.278
13 H 0.361 0.861 0.723
14 H 0.931 0.931 0.861
15 Sr 0.000 0.000 0.000
16 Sr 0.861 0.861 0.722
17 H 0.000 0.500 0.000

Results
Space group: I4/mmm, No. 139
DOS(E_F): 0.00 states/eV per cell

***

Material: Sr2TbP3Rh12
Method: DFT, GGA-PBE
State: relaxed

Cell: 6.753 6.753 6.753 Å, 84.15 84.15 84.15°
Element x y z (fractional)
1 Rh 0.177 0.177 0.666
2 Sr 0.384 0.384 0.384
3 P 0.000 0.500 0.000
4 Rh 0.077 0.640 0.640
5 Rh 0.334 0.823 0.823
6 Rh 0.640 0.077 0.640
7 Tb 0.000 0.000 0.000
8 Rh 0.823 0.334 0.823
9 Rh 0.360 0.923 0.360
10 Rh 0.823 0.823 0.334
11 Rh 0.666 0.177 0.177
12 Rh 0.923 0.360 0.360
13 Sr 0.616 0.616 0.616
14 P 0.500 0.000 0.000
15 Rh 0.360 0.360 0.923
16 P 0.000 0.000 0.500
17 Rh 0.640 0.640 0.077
18 Rh 0.177 0.666 0.177

Results
Space group: R-3m, No. 166
DOS(E_F): 18.90 states/eV per cell
Energy relative to the elements: -4.060 kcal/mol of atoms

***

Material: PrNdH
Method: DFT, GGA-PBE
State: relaxed

Cell: 3.499 3.499 6.768 Å, 104.98 104.98 90.00°
Element x y z (fractional)
1 Pr 0.034 0.034 0.067
2 Nd 0.747 0.747 0.493
3 H 0.220 0.220 0.440

Results
Offset from the most stable computed form: 156 meV per atom
Space group: I4mm, No. 107
DOS(E_F): 2.94 states/eV per cell

***

Material: La2CdRhC
Method: DFT, GGA-PBE
State: relaxed

Cell: 5.438 5.438 3.935 Å, 90.00 90.00 90.00°
Element x y z (fractional)
1 Rh 0.000 0.000 0.500
2 La 0.000 0.500 0.000
3 C 0.000 0.000 0.000
4 La 0.500 0.000 0.000
5 Cd 0.500 0.500 0.500

Results
Space group: P4/mmm, No. 123
DOS(E_F): 3.46 states/eV per cell
Energy relative to the elements: -8.192 kcal/mol of atoms

***

Material: Li2PHRh
Method: DFT, GGA-PBE
State: relaxed

Cell: 3.662 3.662 3.821 Å, 90.00 90.00 90.00°
Element x y z (fractional)
1 H 0.000 0.000 0.000
2 Li 0.000 0.500 0.000
3 Li 0.500 0.000 0.000
4 P 0.500 0.500 0.500
5 Rh 0.000 0.000 0.500

Results
Space group: P4/mmm, No. 123
DOS(E_F): 1.80 states/eV per cell

***

Material: Ce5Ge4C
Method: DFT, GGA-PBE
State: relaxed

Cell: 5.953 7.127 7.127 Å, 79.95 65.31 65.31°
Element x y z (fractional)
1 Ge 0.586 0.607 0.222
2 Ge 0.808 0.778 0.607
3 C 0.058 0.000 0.000
4 Ce 0.265 0.825 0.638
5 Ce 0.090 0.638 0.175
6 Ge 0.193 0.222 0.393
7 Ge 0.416 0.393 0.778
8 Ce 0.728 0.175 0.362
9 Ce 0.903 0.362 0.825
10 Ce 0.463 0.000 0.000

Results
Space group: I4, No. 79
DOS(E_F): 9.50 states/eV per cell
Energy relative to the elements: -11.019 kcal/mol of atoms

***

Material: Li2CuPbCl6
Method: DFT, GGA-PBE
State: relaxed

Cell: 7.593 9.374 9.374 Å, 73.23 66.64 66.64°
Element x y z (fractional)
1 Cl 0.431 0.920 0.341
2 Cl 0.372 0.249 0.969
3 Li 0.855 0.620 0.806
4 Li 0.645 0.194 0.380
5 Cl 0.069 0.659 0.080
6 Cl 0.645 0.618 0.675
7 Cl 0.872 0.969 0.249
8 Cl 0.355 0.382 0.325
9 Cl 0.931 0.341 0.920
10 Li 0.145 0.380 0.194
11 Cl 0.569 0.080 0.659
12 Cl 0.145 0.675 0.618
13 Cu 0.750 0.823 0.177
14 Cl 0.628 0.751 0.031
15 Cl 0.855 0.325 0.382
16 Cu 0.250 0.177 0.823
17 Cl 0.128 0.031 0.751
18 Pb 0.250 0.712 0.288
19 Li 0.355 0.806 0.620
20 Pb 0.750 0.288 0.712

Results
Space group: C2/c, No. 15
Energy relative to the elements, uncorrected: -1.1867 eV per atom

***

Material: Th4GeTe2Au
Method: DFT, GGA-PBE
State: relaxed

Cell: 4.355 7.676 7.676 Å, 108.84 90.00 90.00°
Element x y z (fractional)
1 Au 0.500 0.500 0.000
2 Te 0.500 0.000 0.500
3 Th 0.000 0.260 0.779
4 Ge 0.000 0.000 0.000
5 Th 0.500 0.763 0.778
6 Te 0.000 0.500 0.500
7 Th 0.000 0.740 0.221
8 Th 0.500 0.237 0.222

Results
Space group: P2/m, No. 10
Energy relative to the elements, uncorrected: -0.9100 eV per atom
DOS(E_F): 5.57 states/eV per cell

***

Material: TmSnF6
Method: DFT, GGA-PBE
State: relaxed

Cell: 4.841 4.841 6.224 Å, 67.11 67.11 60.00°
Element x y z (fractional)
1 F 0.433 0.922 0.722
2 Tm 0.500 0.500 0.500
3 F 0.567 0.078 0.278
4 F 0.078 0.078 0.278
5 F 0.078 0.567 0.278
6 Sn 0.000 0.000 0.000
7 F 0.922 0.433 0.722
8 F 0.922 0.922 0.722

Results
Space group: R-3m, No. 166
Energy relative to the elements, uncorrected: -2.4668 eV per atom
DOS(E_F): 2.26 states/eV per cell

***

Material: Fe3BN
Method: DFT, GGA-PBE
State: relaxed

Cell: 3.613 3.613 3.613 Å, 90.00 90.00 90.00°
Element x y z (fractional)
1 Fe 0.500 0.000 0.000
2 Fe 0.000 0.000 0.500
3 Fe 0.000 0.500 0.000
4 B 0.500 0.500 0.500
5 N 0.000 0.000 0.000

Results
Offset from the most stable computed form: 0 meV per atom
Space group: Pm-3m, No. 221
Energy relative to the elements, uncorrected: 0.3296 eV per atom
DOS(E_F): 5.28 states/eV per cell

***

Material: Cs2RbAgHg
Method: DFT, GGA-PBE
State: relaxed

Cell: 7.254 7.254 5.688 Å, 90.00 90.00 90.00°
Element x y z (fractional)
1 Cs 0.500 0.000 0.000
2 Rb 0.500 0.500 0.500
3 Ag 0.000 0.000 0.000
4 Cs 0.000 0.500 0.000
5 Hg 0.000 0.000 0.500

Results
Offset from the most stable computed form: 100 meV per atom
Space group: P4/mmm, No. 123
DOS(E_F): 3.27 states/eV per cell
Energy relative to the elements: 0.190 kcal/mol of atoms

***

Results for E_tot: -4.441, -5.138, -8.155, -5.075, -7.118, -3.170, -7.884, -11.654, -1.741, -2.826, -6.423, -4.425, -5.824, -4.449, -6.214, -3.458, -6.392, -4.930, -7.749, -1.157 (in eV per atom, following the order of the records).
Results for total moment: 0.00, 0.00, 0.00, 0.00, 4.01, 1.04, 0.00, 0.00, 0.00, 0.00, 0.00, 0.00, 0.00, 0.00, 0.00, 2.00, 0.00, 0.00, 2.05, 0.00 (in μB per cell, following the order of the records).